[1]
Crystalline Al2InH at its relaxed geometry. Source: Alexandria, functional PBE.

abc: 6.459 6.459 6.459
angles: 90.00 90.00 90.00
Positions (direct):
Al 0.250 0.250 0.250
Al 0.250 0.250 0.750
Al 0.250 0.750 0.250
Al 0.250 0.750 0.750
Al 0.750 0.250 0.250
Al 0.750 0.250 0.750
Al 0.750 0.750 0.250
Al 0.750 0.750 0.750
In 0.000 0.000 0.000
In 0.000 0.500 0.500
In 0.500 0.000 0.500
In 0.500 0.500 0.000
H 0.000 0.000 0.500
H 0.000 0.500 0.000
H 0.500 0.000 0.000
H 0.500 0.500 0.500

## Properties
V ... 16.84 Å³/atom
Crystal system ... cubic
Energy above the most stable polymorph in this dataset ... 214 meV/atom
N(E_F) ... 5.16 states/eV per cell
Space-group type ... Fm-3m

[2]
Crystalline AcHo3Fe at its relaxed geometry. Source: Alexandria, functional PBE.

abc: 5.342 5.342 5.342
angles: 90.00 90.00 90.00
Positions (direct):
Ac 0.000 0.000 0.000
Ho 0.000 0.500 0.500
Ho 0.500 0.000 0.500
Ho 0.500 0.500 0.000
Fe 0.500 0.500 0.500

## Properties
E ... -0.38097 Ry per atom
V ... 30.48 Å³/atom
Crystal system ... cubic
N(E_F) ... 7.28 states/eV per cell
Space-group type ... Pm-3m

[3]
Crystalline CdAsSe2S at its relaxed geometry. Source: Alexandria, functional PBE.

abc: 5.131 5.131 5.369
angles: 90.00 90.00 90.00
Positions (direct):
Cd 0.000 0.000 0.000
As 0.000 0.000 0.500
Se 0.000 0.500 0.000
Se 0.500 0.000 0.000
S 0.500 0.500 0.500

## Properties
V ... 28.27 Å³/atom
Crystal system ... tetragonal
Energy above the most stable polymorph in this dataset ... 578 meV/atom
ΔE_f (raw) ... 1.07 eV/atom
N(E_F) ... 6.26 states/eV per cell
Space-group type ... P4/mmm

[4]
Crystalline PmDyMg6 at its relaxed geometry. Source: Alexandria, functional PBE.

abc: 5.202 6.737 11.655
angles: 90.00 90.00 90.00
Positions (direct):
Pm 0.000 0.000 0.000
Pm 0.000 0.500 0.500
Dy 0.500 0.000 0.333
Dy 0.500 0.500 0.833
Mg 0.000 0.000 0.502
Mg 0.000 0.246 0.749
Mg 0.000 0.254 0.249
Mg 0.000 0.500 0.002
Mg 0.000 0.746 0.249
Mg 0.000 0.754 0.749
Mg 0.500 0.000 0.828
Mg 0.500 0.243 0.585
Mg 0.500 0.257 0.085
Mg 0.500 0.500 0.328
Mg 0.500 0.743 0.085
Mg 0.500 0.757 0.585

## Properties
E ... -0.17975 Ry per atom
V ... 25.53 Å³/atom
Crystal system ... orthorhombic
N(E_F) ... 16.78 states/eV per cell
Space-group type ... Amm2

[5]
Crystalline Ce2As3PIr4 at its relaxed geometry. Source: Alexandria, functional PBE.

abc: 4.266 4.266 9.910
angles: 90.00 90.00 90.00
Positions (direct):
Ce 0.000 0.500 0.242
Ce 0.500 0.000 0.758
As 0.000 0.000 0.000
As 0.000 0.500 0.642
As 0.500 0.000 0.358
P 0.500 0.500 0.000
Ir 0.000 0.000 0.500
Ir 0.000 0.500 0.888
Ir 0.500 0.000 0.112
Ir 0.500 0.500 0.500

## Properties
E ... -0.55064 Ry per atom
V ... 18.04 Å³/atom
Crystal system ... tetragonal
N(E_F) ... 7.85 states/eV per cell
Space-group type ... P-4m2

[6]
Crystalline Pr2Sm4Er3 at its relaxed geometry. Source: Alexandria, functional PBE.

abc: 10.079 10.079 6.220
angles: 94.94 94.94 71.55
Positions (direct):
Pr 0.023 0.737 0.680
Pr 0.263 0.977 0.820
Pr 0.737 0.023 0.180
Pr 0.977 0.263 0.320
Sm 0.075 0.355 0.847
Sm 0.312 0.593 0.986
Sm 0.355 0.075 0.347
Sm 0.407 0.688 0.514
Sm 0.593 0.312 0.486
Sm 0.645 0.925 0.653
Sm 0.688 0.407 0.014
Sm 0.925 0.645 0.153
Er 0.100 0.900 0.250
Er 0.236 0.433 0.411
Er 0.433 0.236 0.911
Er 0.567 0.764 0.089
Er 0.764 0.567 0.589
Er 0.900 0.100 0.750

## Properties
V ... 33.11 Å³/atom
Crystal system ... monoclinic
Energy above the most stable polymorph in this dataset ... 35 meV/atom
N(E_F) ... 24.82 states/eV per cell
Space-group type ... C2/c

[7]
Crystalline GaPPt3 at its relaxed geometry. Source: Alexandria, functional PBE.

abc: 4.623 4.623 4.623
angles: 90.00 90.00 90.00
Positions (direct):
Ga 0.000 0.000 0.000
P 0.500 0.500 0.500
Pt 0.000 0.000 0.500
Pt 0.000 0.500 0.000
Pt 0.500 0.000 0.000

## Properties
V ... 19.76 Å³/atom
Crystal system ... cubic
Energy above the most stable polymorph in this dataset ... 702 meV/atom
N(E_F) ... 2.70 states/eV per cell
Space-group type ... Pm-3m

[8]
Crystalline CsZrGaBr6 at its relaxed geometry. Source: Alexandria, functional PBE.

abc: 7.655 7.655 15.474
angles: 90.00 90.00 120.00
Positions (direct):
Cs 0.000 0.000 0.000
Cs 0.000 0.000 0.500
Zr 0.333 0.667 0.250
Zr 0.667 0.333 0.750
Ga 0.333 0.667 0.750
Ga 0.667 0.333 0.250
Br 0.042 0.392 0.151
Br 0.042 0.650 0.349
Br 0.350 0.392 0.349
Br 0.350 0.958 0.151
Br 0.392 0.042 0.651
Br 0.392 0.350 0.849
Br 0.608 0.650 0.151
Br 0.608 0.958 0.349
Br 0.650 0.042 0.849
Br 0.650 0.608 0.651
Br 0.958 0.350 0.651
Br 0.958 0.608 0.849

## Properties
V ... 43.62 Å³/atom
Crystal system ... trigonal
ΔE_f (raw) ... -1.33 eV/atom
N(E_F) ... 0.00 states/eV per cell
Space-group type ... P-31c

[9]
Crystalline AcPmCCl at its relaxed geometry. Source: Alexandria, functional PBE.

abc: 3.839 3.839 22.573
angles: 90.00 90.00 120.00
Positions (direct):
Ac 0.000 0.000 0.000
Ac 0.333 0.667 0.667
Ac 0.667 0.333 0.333
Pm 0.000 0.000 0.794
Pm 0.333 0.667 0.461
Pm 0.667 0.333 0.128
C 0.000 0.000 0.403
C 0.333 0.667 0.070
C 0.667 0.333 0.737
Cl 0.000 0.000 0.221
Cl 0.333 0.667 0.888
Cl 0.667 0.333 0.554

## Properties
V ... 24.01 Å³/atom
Crystal system ... trigonal
ΔE_f (raw) ... -0.93 eV/atom
N(E_F) ... 6.60 states/eV per cell
Space-group type ... R3m

[10]
Crystalline NiPbBr2 at its relaxed geometry. Source: Alexandria, functional PBE.

abc: 4.811 3.756 6.032
angles: 90.00 110.09 90.00
Positions (direct):
Ni 0.000 0.000 0.000
Pb 0.500 0.500 0.500
Br 0.000 0.000 0.500
Br 0.500 0.500 0.000

## Properties
V ... 25.59 Å³/atom
Crystal system ... monoclinic
Energy above the most stable polymorph in this dataset ... 496 meV/atom
ΔE_f (raw) ... 0.17 eV/atom
N(E_F) ... 3.69 states/eV per cell
Space-group type ... P2/m

[11]
Crystalline LiZr4Au5 at its relaxed geometry. Source: Alexandria, functional PBE.

abc: 3.190 3.190 18.769
angles: 90.00 90.00 90.00
Positions (direct):
Li 0.000 0.000 0.000
Zr 0.000 0.000 0.186
Zr 0.000 0.000 0.395
Zr 0.000 0.000 0.605
Zr 0.000 0.000 0.814
Au 0.500 0.500 0.082
Au 0.500 0.500 0.291
Au 0.500 0.500 0.500
Au 0.500 0.500 0.709
Au 0.500 0.500 0.918

## Properties
E ... -0.42091 Ry per atom
V ... 19.10 Å³/atom
Crystal system ... tetragonal
N(E_F) ... 11.98 states/eV per cell
Space-group type ... P4/mmm

[12]
Crystalline NaTi2BiO6 at its relaxed geometry. Source: Alexandria, functional PBE.

abc: 6.104 6.104 5.689
angles: 109.51 109.51 53.19
Positions (direct):
Na 0.000 0.000 0.000
Ti 0.272 0.272 0.906
Ti 0.728 0.728 0.094
Bi 0.500 0.500 0.500
O 0.119 0.620 0.155
O 0.335 0.335 0.667
O 0.380 0.881 0.845
O 0.620 0.119 0.155
O 0.665 0.665 0.333
O 0.881 0.380 0.845

## Properties
V ... 15.74 Å³/atom
Crystal system ... monoclinic
Energy above the most stable polymorph in this dataset ... 16 meV/atom
ΔE_f (raw) ... -2.40 eV/atom
N(E_F) ... 0.00 states/eV per cell
Space-group type ... C2/m